Compound: LiAgAu2
Source: Alexandria via LeMat-Bulk
Functional: PBE-GGA
Structure: optimized geometry

The space group is R-3m (No. 166, hexagonal axes) and the conventional cell measures 2.9539, 2.9539 and 27.0619 Å, with angles of 90.00, 90.00 and 120.00 degrees. Symmetry generates all atoms from Li at (0.0000, 0.0000, 0.0000), Ag at (0.0000, 0.0000, 0.5000) and Au at (0.0000, 0.0000, 0.2555).

The energy above the most stable polymorph in this dataset is 0.133 eV per atom. As for the volume: 17.0 Å³ per atom. Its total energy is -36.09 eV per cell. As for the formation enthalpy at 0 K: -0.71 eV/f.u.